(1)
This record from the Alexandria database describes a relaxed structure of Y4Mg2Cd3. The functional is GGA-PBE.

Calculated values
Formation energy ... -0.19 eV/atom
Final energy ... -0.137 hartree per atom

Cell lengths 5.062, 5.682, 9.546 Å; angles 76.58, 90.00, 63.55 degrees
Last column: magnetic moment on the atom in μB.
Sites, in units of the cell vectors:
Y (0.648, 0.704, 0.898)  -0.01
Y (0.046, 0.908, 0.339)  0.07
Y (0.954, 0.092, 0.661)  0.07
Y (0.352, 0.296, 0.102)  -0.01
Mg (0.286, 0.428, 0.741)  0.00
Mg (0.714, 0.572, 0.259)  0.00
Cd (0.359, 0.282, 0.434)  0.00
Cd (0.000, 0.000, 0.000)  0.00
Cd (0.641, 0.718, 0.566)  0.00

(2)
This record from the Alexandria database describes a relaxed structure of Sr2GeCl. The functional is GGA-PBE.

Calculated values
E_form (uncorrected) ... -971 meV per atom
Final energy ... -0.126 hartree per atom

Cell lengths 5.498, 5.498, 5.498 Å; angles 60.00, 60.00, 60.00 degrees
Last column: magnetic moment on the atom in μB.
Sites, in units of the cell vectors:
Sr (0.250, 0.250, 0.250)  0.04
Sr (0.750, 0.750, 0.750)  0.04
Ge (0.500, 0.500, 0.500)  0.30
Cl (0.000, 0.000, 0.000)  0.04

(3)
This record from the Alexandria database describes a relaxed structure of NdIn2SbO8. The functional is GGA-PBE.

Calculated values
E_form (uncorrected) ... -1582 meV per atom
Final energy ... -0.224 hartree per atom

Cell lengths 4.928, 4.927, 7.008 Å; angles 90.00, 90.00, 89.46 degrees
Last column: magnetic moment on the atom in μB.
Sites, in units of the cell vectors:
Nd (0.000, 0.000, 0.500)  0.01
In (0.500, 0.500, 0.762)  -0.01
In (0.500, 0.500, 0.238)  -0.01
Sb (0.000, 0.000, 0.000)  -0.02
O (0.190, 0.810, 0.215)  0.14
O (0.711, 0.710, 0.000)  0.24
O (0.810, 0.190, 0.215)  0.14
O (0.810, 0.190, 0.785)  0.14
O (0.289, 0.290, 0.000)  0.24
O (0.190, 0.810, 0.785)  0.14
O (0.674, 0.673, 0.500)  0.26
O (0.326, 0.327, 0.500)  0.26

(4)
This record from the Alexandria database describes a relaxed structure of KTaMn2. The functional is GGA-PBE.

Calculated values
Formation energy ... 0.79 eV/atom
Final energy ... -0.259 hartree per atom

Cell lengths 3.189, 3.189, 8.335 Å; angles 90.00, 90.00, 90.00 degrees
Last column: magnetic moment on the atom in μB.
Sites, in units of the cell vectors:
K (0.500, 0.500, 0.781)  -0.01
Mn (0.000, 0.000, 0.117)  -0.95
Mn (0.500, 0.500, 0.217)  1.37
Ta (0.000, 0.000, 0.385)  -0.04